6
Lattice="-0.4010 1.5036 4.3998 -1.8845 -1.7925 -2.0343 5.0450 -9.5165 3.7120" Properties=species:S:1:pos:R:3 comment="PBE TbMgNi, optimized geometry" vol_a3_per_cell=124.2 space_group="No. 123" delta_e_f_mev_per_atom=-183 pbc="T T T"
Ni 0.8736 -3.2063 3.6505
Ni 2.1506 -5.6150 4.5900
Mg 1.7128 -5.1624 1.9203
Mg -1.0136 0.3459 2.2645
Tb 3.0864 -7.7568 2.9322
Tb 0.3364 -2.5693 0.9087

20
Lattice="-2.6667 -2.0068 -6.5014 6.9876 -1.9090 -2.2769 -1.5141 -9.6618 3.4538" Properties=species:S:1:pos:R:3 comment="PBE K2LiPrCl6, optimized geometry" vol_a3_per_cell=575.5 space_group="No. 14" polymorph_energy_mev_per_atom=0 raw_formation_energy_mev_per_atom=-2064 pbc="T T T"
Cl -1.2578 -11.1563 -1.9098
Cl 0.7854 -1.2447 -1.6388
Cl 1.9560 -8.2531 0.8807
Cl 4.0646 -2.4212 -3.4147
Cl 4.5791 -10.0131 -2.2547
Cl 3.4287 -6.3119 -1.9393
Cl 2.0214 -12.3328 -3.6857
Cl -0.6219 -7.2657 -3.3852
Cl -1.7723 -3.5645 -3.0698
Cl 0.2405 -5.1603 -0.1931
Cl 2.5663 -8.4173 -5.1314
Cl 0.8508 -5.3244 -6.2052
K -3.3084 -9.3138 -3.9376
K 1.4102 -9.3838 -2.0588
K 1.3966 -4.1938 -3.2657
K 6.1152 -4.2638 -1.3869
Pr 3.4938 -0.9545 -1.1385
Pr -2.0904 -5.8343 -1.5238
Li -1.3334 -1.0034 -3.2507
Li 2.7368 -5.7854 0.5885

What are the uncorrected energy values for these records? In order: -0.3076, -0.2985 Ry per atom.
What are the DOS at the Fermi energy values for these records? In order: 2.38, 0.00 states/eV/f.u..